Entry 1:
{"formula": "ZrTl", "functional": "PBE", "state": "relaxed", "cell": [[-5.223, -6.185, -2.300], [2.990, 1.003, -5.444], [3.791, -3.721, 1.397]], "species": ["Zr", "Zr", "Tl", "Zr", "Tl", "Zr", "Tl", "Tl", "Zr", "Tl", "Tl", "Zr"], "frac_coords": [[0.204, 0.053, 0.500], [0.341, 0.834, 0.000], [0.896, 0.725, 0.500], [0.011, 0.500, 0.000], [0.677, 0.166, 0.000], [0.018, 0.003, 0.000], [0.679, 0.672, 0.000], [0.326, 0.330, 0.000], [0.211, 0.555, 0.500], [0.543, 0.383, 0.500], [0.545, 0.890, 0.500], [0.881, 0.222, 0.500]], "dft_energy_ev_per_atom": -5.416, "crystal_system": "monoclinic", "magnetic_moment_mub_per_fu": 0.00}


Entry 2:
{"formula": "ZrTl", "functional": "PBE", "state": "relaxed", "cell": [[5.567, 0.000, 0.000], [0.000, 12.883, 0.000], [0.000, 0.000, 5.317]], "species": ["Tl", "Tl", "Zr", "Tl", "Zr", "Tl", "Tl", "Zr", "Tl", "Tl", "Zr", "Zr", "Zr", "Zr", "Tl", "Zr"], "frac_coords": [[0.330, 0.732, 0.500], [0.003, 0.518, 0.000], [0.828, 0.626, 0.500], [0.867, 0.375, 0.500], [0.964, 0.994, 0.000], [0.003, 0.232, 0.000], [0.330, 0.018, 0.500], [0.369, 0.256, 0.500], [0.469, 0.375, 0.000], [0.466, 0.875, 0.000], [0.964, 0.756, 0.000], [0.505, 0.126, 0.000], [0.369, 0.494, 0.500], [0.828, 0.124, 0.500], [0.864, 0.875, 0.500], [0.505, 0.624, 0.000]], "dft_energy_ev_per_atom": -5.374, "crystal_system": "orthorhombic", "magnetic_moment_mub_per_fu": 0.12}


Entry 3:
{"formula": "ZrTl", "functional": "PBE", "state": "relaxed", "cell": [[-4.687, 0.636, 2.779], [-1.155, -9.899, 0.316], [2.635, -0.164, 4.483]], "species": ["Tl", "Zr", "Zr", "Tl", "Tl", "Tl", "Zr", "Zr", "Zr", "Tl", "Zr", "Tl"], "frac_coords": [[0.382, 0.689, 0.500], [0.966, 0.996, 0.000], [0.989, 0.329, 0.000], [0.988, 0.656, 0.000], [0.488, 0.177, 0.000], [0.299, 0.357, 0.500], [0.489, 0.505, 0.000], [0.876, 0.829, 0.500], [0.466, 0.837, 0.000], [0.882, 0.144, 0.500], [0.376, 0.004, 0.500], [0.799, 0.476, 0.500]], "dft_energy_ev_per_atom": -5.367, "crystal_system": "orthorhombic", "magnetic_moment_mub_per_fu": 0.01}


Entry 4:
{"formula": "ZrTl", "functional": "PBE", "state": "relaxed", "cell": [[-0.724, 4.711, -2.315], [-5.831, -2.188, -2.631], [-2.574, 1.709, 4.283]], "species": ["Zr", "Tl", "Zr", "Zr", "Tl", "Zr", "Tl", "Tl"], "frac_coords": [[0.921, 0.500, 0.000], [0.923, 0.000, 0.000], [0.422, 0.255, 0.000], [0.422, 0.745, 0.000], [0.910, 0.268, 0.500], [0.409, 0.500, 0.500], [0.910, 0.732, 0.500], [0.416, 0.000, 0.500]], "dft_energy_ev_per_atom": -5.391, "crystal_system": "orthorhombic", "magnetic_moment_mub_per_fu": 0.01}